(1)
# KSi2Os | the Alexandria database | GGA-PBEsol | optimized geometry
# formation energy (no corrections) = 26.23 kcal/mol of atoms
data_KSi2Os
_cell_length_a 2.8661
_cell_length_b 4.4690
_cell_length_c 5.3158
_cell_angle_alpha 90.00
_cell_angle_beta 90.00
_cell_angle_gamma 90.00
_symmetry_space_group_name_H-M 'P m m m'
_symmetry_Int_Tables_number 47
_symmetry_space_group_name_Hall '-P 2 2'
loop_
_atom_site_label
_atom_site_fract_x
_atom_site_fract_y
_atom_site_fract_z
_atom_site_occupancy
K1 0.0000 0.0000 0.0000 1
Si1 0.0000 0.5000 0.5000 1
Si2 0.5000 0.5000 0.0000 1
Os1 0.5000 0.0000 0.5000 1

(2)
# KSiOs2 | the Alexandria database | GGA-PBEsol | optimized geometry
# formation energy (no corrections) = 10.90 kcal/mol of atoms
data_KSiOs2
_cell_length_a 2.8520
_cell_length_b 2.8520
_cell_length_c 27.6809
_cell_angle_alpha 90.00
_cell_angle_beta 90.00
_cell_angle_gamma 120.00
_symmetry_space_group_name_H-M 'R -3 m'
_symmetry_Int_Tables_number 166
_symmetry_space_group_name_Hall '-R 3 2"'
loop_
_atom_site_label
_atom_site_fract_x
_atom_site_fract_y
_atom_site_fract_z
_atom_site_occupancy
K1 0.0000 0.0000 0.0000 1
Si1 0.0000 0.0000 0.5000 1
Os1 0.0000 0.0000 0.2312 1

(3)
# KSiOs2 | the Alexandria database | GGA-PBEsol | optimized geometry
# formation energy (no corrections) = 13.38 kcal/mol of atoms
data_KSiOs2
_cell_length_a 2.9407
_cell_length_b 4.7510
_cell_length_c 9.3301
_cell_angle_alpha 90.00
_cell_angle_beta 90.00
_cell_angle_gamma 90.00
_symmetry_space_group_name_H-M 'C m m m'
_symmetry_Int_Tables_number 65
_symmetry_space_group_name_Hall '-C 2 2'
loop_
_atom_site_label
_atom_site_fract_x
_atom_site_fract_y
_atom_site_fract_z
_atom_site_occupancy
K1 0.0000 0.0000 0.0000 1
Si1 0.0000 0.0000 0.5000 1
Os1 0.0000 0.5000 0.3034 1

(4)
# K2SiOs | the Alexandria database | GGA-PBEsol | optimized geometry
# formation energy (no corrections) = 7.26 kcal/mol of atoms
data_K2SiOs
_cell_length_a 2.8873
_cell_length_b 3.8483
_cell_length_c 9.9712
_cell_angle_alpha 90.00
_cell_angle_beta 90.00
_cell_angle_gamma 90.00
_symmetry_space_group_name_H-M 'P m m 2'
_symmetry_Int_Tables_number 25
_symmetry_space_group_name_Hall 'P 2 -2'
loop_
_atom_site_label
_atom_site_fract_x
_atom_site_fract_y
_atom_site_fract_z
_atom_site_occupancy
K1 0.0000 0.0000 0.0000 1
K2 0.5000 0.5000 0.4066 1
Si1 0.0000 0.0000 0.6950 1
Os1 0.5000 0.5000 0.7189 1

(5)
# KSn3Os | the Alexandria database | GGA-PBEsol | optimized geometry
# DFT formation energy = 2.427 eV per atom
data_KSn3Os
_cell_length_a 5.4173
_cell_length_b 5.4173
_cell_length_c 5.4173
_cell_angle_alpha 90.00
_cell_angle_beta 90.00
_cell_angle_gamma 90.00
_symmetry_space_group_name_H-M 'P m -3 m'
_symmetry_Int_Tables_number 221
_symmetry_space_group_name_Hall '-P 4 2 3'
loop_
_atom_site_label
_atom_site_fract_x
_atom_site_fract_y
_atom_site_fract_z
_atom_site_occupancy
K1 0.0000 0.0000 0.0000 1
Sn1 0.0000 0.0000 0.5000 1
Os1 0.5000 0.5000 0.5000 1

(6)
# KSnTe2Os | the Alexandria database | GGA-PBEsol | optimized geometry
# formation energy (no corrections) = 51.64 kcal/mol of atoms
data_KSnTe2Os
_cell_length_a 5.6935
_cell_length_b 5.6935
_cell_length_c 5.5444
_cell_angle_alpha 90.00
_cell_angle_beta 90.00
_cell_angle_gamma 90.00
_symmetry_space_group_name_H-M 'P 4/m m m'
_symmetry_Int_Tables_number 123
_symmetry_space_group_name_Hall '-P 4 2'
loop_
_atom_site_label
_atom_site_fract_x
_atom_site_fract_y
_atom_site_fract_z
_atom_site_occupancy
K1 0.0000 0.0000 0.0000 1
Sn1 0.0000 0.0000 0.5000 1
Te1 0.0000 0.5000 0.0000 1
Os1 0.5000 0.5000 0.5000 1

(7)
# K2SrOs | the Alexandria database | GGA-PBEsol | optimized geometry
# DFT formation energy = 1.409 eV per atom
# polymorph energy (0 for the lowest one) = 182.8 meV per atom
data_K2SrOs
_cell_length_a 7.8615
_cell_length_b 7.8615
_cell_length_c 7.8615
_cell_angle_alpha 90.00
_cell_angle_beta 90.00
_cell_angle_gamma 90.00
_symmetry_space_group_name_H-M 'F m -3 m'
_symmetry_Int_Tables_number 225
_symmetry_space_group_name_Hall '-F 4 2 3'
loop_
_atom_site_label
_atom_site_fract_x
_atom_site_fract_y
_atom_site_fract_z
_atom_site_occupancy
K1 0.2500 0.2500 0.2500 1
Sr1 0.0000 0.0000 0.0000 1
Os1 0.0000 0.0000 0.5000 1

(8)
# KSrOs2 | the Alexandria database | GGA-PBEsol | optimized geometry
# DFT formation energy = 1.324 eV per atom
# polymorph energy (0 for the lowest one) = 566.1 meV per atom
data_KSrOs2
_cell_length_a 3.8218
_cell_length_b 3.8218
_cell_length_c 10.5320
_cell_angle_alpha 90.00
_cell_angle_beta 90.00
_cell_angle_gamma 90.00
_symmetry_space_group_name_H-M 'I 4/m m m'
_symmetry_Int_Tables_number 139
_symmetry_space_group_name_Hall '-I 4 2'
loop_
_atom_site_label
_atom_site_fract_x
_atom_site_fract_y
_atom_site_fract_z
_atom_site_occupancy
K1 0.0000 0.0000 0.0000 1
Sr1 0.0000 0.0000 0.5000 1
Os1 0.0000 0.5000 0.2500 1

(9)
# KSrOs2 | the Alexandria database | GGA-PBEsol | optimized geometry
# DFT formation energy = 0.758 eV per atom
# polymorph energy (0 for the lowest one) = 0.0 meV per atom
data_KSrOs2
_cell_length_a 4.7018
_cell_length_b 4.7531
_cell_length_c 9.7594
_cell_angle_alpha 90.00
_cell_angle_beta 90.00
_cell_angle_gamma 90.00
_symmetry_space_group_name_H-M 'C m m 2'
_symmetry_Int_Tables_number 35
_symmetry_space_group_name_Hall 'C 2 -2'
loop_
_atom_site_label
_atom_site_fract_x
_atom_site_fract_y
_atom_site_fract_z
_atom_site_occupancy
K1 0.0000 0.0000 0.0000 1
Sr1 0.0000 0.5000 0.5853 1
Os1 0.0000 0.0000 0.3551 1
Os2 0.0000 0.5000 0.2654 1

(10)
# KSrOs | the Alexandria database | GGA-PBEsol | optimized geometry
# DFT formation energy = 1.117 eV per atom
data_KSrOs
_cell_length_a 2.8316
_cell_length_b 4.2645
_cell_length_c 15.1542
_cell_angle_alpha 90.00
_cell_angle_beta 90.00
_cell_angle_gamma 90.00
_symmetry_space_group_name_H-M 'I m m 2'
_symmetry_Int_Tables_number 44
_symmetry_space_group_name_Hall 'I 2 -2'
loop_
_atom_site_label
_atom_site_fract_x
_atom_site_fract_y
_atom_site_fract_z
_atom_site_occupancy
K1 0.0000 0.0000 0.0000 1
Sr1 0.0000 0.0000 0.2462 1
Os1 0.0000 0.0000 0.6403 1

(11)
# K3SrOs | the Alexandria database | GGA-PBEsol | optimized geometry
# DFT formation energy = 2.101 eV per atom
data_K3SrOs
_cell_length_a 7.3524
_cell_length_b 7.3524
_cell_length_c 7.3524
_cell_angle_alpha 90.00
_cell_angle_beta 90.00
_cell_angle_gamma 90.00
_symmetry_space_group_name_H-M 'P m -3 m'
_symmetry_Int_Tables_number 221
_symmetry_space_group_name_Hall '-P 4 2 3'
loop_
_atom_site_label
_atom_site_fract_x
_atom_site_fract_y
_atom_site_fract_z
_atom_site_occupancy
K1 0.0000 0.0000 0.5000 1
Sr1 0.0000 0.0000 0.0000 1
Os1 0.5000 0.5000 0.5000 1

(12)
# K2SrOs | the Alexandria database | GGA-PBEsol | optimized geometry
# DFT formation energy = 1.226 eV per atom
# polymorph energy (0 for the lowest one) = 0.0 meV per atom
data_K2SrOs
_cell_length_a 3.0998
_cell_length_b 6.2063
_cell_length_c 5.9056
_cell_angle_alpha 90.00
_cell_angle_beta 91.33
_cell_angle_gamma 90.00
_symmetry_space_group_name_H-M 'P 1 2/m 1'
_symmetry_Int_Tables_number 10
_symmetry_space_group_name_Hall '-P 2y'
loop_
_atom_site_label
_atom_site_fract_x
_atom_site_fract_y
_atom_site_fract_z
_atom_site_occupancy
K1 0.2320 0.0000 0.2178 1
Sr1 0.0000 0.5000 0.5000 1
Os1 0.5000 0.5000 0.0000 1

(13)
# KTaOs2 | the Alexandria database | GGA-PBEsol | optimized geometry
# DFT formation energy = 1.062 eV per atom
data_KTaOs2
_cell_length_a 2.6657
_cell_length_b 5.1922
_cell_length_c 10.8348
_cell_angle_alpha 90.00
_cell_angle_beta 90.00
_cell_angle_gamma 90.00
_symmetry_space_group_name_H-M 'I m m 2'
_symmetry_Int_Tables_number 44
_symmetry_space_group_name_Hall 'I 2 -2'
loop_
_atom_site_label
_atom_site_fract_x
_atom_site_fract_y
_atom_site_fract_z
_atom_site_occupancy
K1 0.0000 0.0000 0.0000 1
Ta1 0.0000 0.5000 0.7970 1
Os1 0.0000 0.0000 0.5157 1
Os2 0.0000 0.5000 0.2167 1

(14)
# KTc2Os | the Alexandria database | GGA-PBEsol | optimized geometry
# DFT formation energy = 1.411 eV per atom
data_KTc2Os
_cell_length_a 6.2762
_cell_length_b 6.2762
_cell_length_c 6.2762
_cell_angle_alpha 90.00
_cell_angle_beta 90.00
_cell_angle_gamma 90.00
_symmetry_space_group_name_H-M 'F m -3 m'
_symmetry_Int_Tables_number 225
_symmetry_space_group_name_Hall '-F 4 2 3'
loop_
_atom_site_label
_atom_site_fract_x
_atom_site_fract_y
_atom_site_fract_z
_atom_site_occupancy
K1 0.0000 0.0000 0.0000 1
Tc1 0.2500 0.2500 0.2500 1
Os1 0.0000 0.0000 0.5000 1

(15)
# K2TcOs | the Alexandria database | GGA-PBEsol | optimized geometry
# DFT formation energy = 2.630 eV per atom
# polymorph energy (0 for the lowest one) = 1257.2 meV per atom
data_K2TcOs
_cell_length_a 7.3071
_cell_length_b 7.3071
_cell_length_c 7.3071
_cell_angle_alpha 90.00
_cell_angle_beta 90.00
_cell_angle_gamma 90.00
_symmetry_space_group_name_H-M 'F m -3 m'
_symmetry_Int_Tables_number 225
_symmetry_space_group_name_Hall '-F 4 2 3'
loop_
_atom_site_label
_atom_site_fract_x
_atom_site_fract_y
_atom_site_fract_z
_atom_site_occupancy
K1 0.2500 0.2500 0.2500 1
Tc1 0.0000 0.0000 0.0000 1
Os1 0.0000 0.0000 0.5000 1